No. 1
The following is a DFT calculation (meta-GGA SCAN) of CoTcAs2C at its PBEsol-relaxed geometry.

POSCAR file:
```
CoTcAs2C
1.0
-1.360 1.095 -2.915
-2.829 -3.649 -0.051
-3.147 2.407 2.373
C As Co Tc
1 2 1 1
Cartesian
-0.680 0.548 -1.458 C
-1.573 1.203 1.186 As
-1.415 -1.825 -0.025 As
0.000 0.000 0.000 Co
-3.668 -0.073 -0.297 Tc
```

## Properties
As for the space group: P4/mmm.


No. 2
The following is a DFT calculation (meta-GGA SCAN) of Cr2AsC at its PBEsol-relaxed geometry.

POSCAR file:
```
Cr2AsC
1.0
-2.521 2.846 0.908
-2.472 1.359 -2.706
-3.820 -0.785 0.271
Cr As C
2 1 1
Cartesian
-2.203 0.855 -0.382 Cr
-6.609 2.565 -1.145 Cr
-4.406 1.710 -0.763 As
0.000 0.000 0.000 C
```

## Properties
As for the space group: Fm-3m.


No. 3
The following is a DFT calculation (meta-GGA SCAN) of Cr2AsC at its PBEsol-relaxed geometry.

POSCAR file:
```
Cr2AsC
1.0
5.042 0.000 0.000
-2.521 5.202 0.017
0.000 2.428 4.418
Cr As C
4 2 2
Cartesian
0.843 4.812 1.670 Cr
-0.843 6.027 3.879 Cr
3.781 2.617 2.400 Cr
1.260 1.805 0.923 Cr
2.521 4.422 3.322 As
0.000 0.000 0.000 As
0.000 3.208 1.113 C
2.521 1.214 2.209 C
```

## Properties
As for the space group: I-42d.


| no. | energy relative to the elements (meV/atom) | size of the total moment (μB per atom) |
| --- | --- | --- |
| 1 | 1005 | 0.42 |
| 2 | 804 | 0.55 |
| 3 | 148 | 1.24 |